The following is a DFT calculation (PBE with a Hubbard U) of a geometry-optimized TmMo2O8 structure.

a b c (Å): 4.854 4.854 6.428
angles (deg): 112.18 112.18 90.00
Sites, in units of the cell vectors:
Mo  0.750  0.250  0.500
O  0.382  0.408  0.284
Mo  0.250  0.750  0.500
O  0.876  0.382  0.284
O  0.408  0.902  0.284
O  0.124  0.098  0.716
O  0.902  0.876  0.284
O  0.592  0.618  0.716
Tm  0.500  0.500  0.000
O  0.618  0.124  0.716
O  0.098  0.592  0.716

- Density of states at the Fermi level: 0.256 states/eV/atom
- Uncorrected energy: -6.782 eV per atom
- M_tot: 0.00 μB per formula unit